1.
Here is a relaxed CsNa2LiH crystal from the Alexandria database. Energies are from PBE. Values from VASP.

Cell and atoms, written as Quantum ESPRESSO input:
```
&SYSTEM
  ibrav = 0, nat = 5, ntyp = 4
/
ATOMIC_SPECIES
Na 22.99 Na.upf
Cs 132.91 Cs.upf
H 1.01 H.upf
Li 6.94 Li.upf
CELL_PARAMETERS angstrom
5.574 0.000 0.000
0.000 7.888 0.000
0.000 0.000 5.574
ATOMIC_POSITIONS crystal
Na 0.500 0.000 0.000
Na 0.000 0.000 0.500
Cs 0.000 0.500 0.000
H 0.500 0.500 0.500
Li 0.000 0.000 0.000
```

final energy: -1.33 eV per atom

***

2.
Here is a relaxed CsNa2LiH4 crystal from the Alexandria database. Energies are from PBE. Values from VASP.

Cell and atoms, written as Quantum ESPRESSO input:
```
&SYSTEM
  ibrav = 0, nat = 16, ntyp = 4
/
ATOMIC_SPECIES
H 1.01 H.upf
Li 6.94 Li.upf
Na 22.99 Na.upf
Cs 132.91 Cs.upf
CELL_PARAMETERS angstrom
-2.218 0.734 2.767
-1.915 -5.690 -2.396
7.381 -5.600 7.399
ATOMIC_POSITIONS crystal
H 0.252 0.504 0.116
H 0.392 0.784 0.750
H 0.608 0.216 0.250
H 0.748 0.496 0.616
H 0.252 0.504 0.384
H 0.000 0.000 0.500
H 0.000 0.000 0.000
H 0.748 0.496 0.884
Li 0.827 0.653 0.750
Li 0.173 0.347 0.250
Na 0.637 0.275 0.045
Na 0.637 0.275 0.455
Na 0.363 0.725 0.955
Na 0.363 0.725 0.545
Cs 0.098 0.195 0.750
Cs 0.902 0.805 0.250
```

final energy: -2.57 eV per atom

***

3.
Here is a relaxed CsNaLiH3 crystal from the Alexandria database. Energies are from PBE. Values from VASP.

Cell and atoms, written as Quantum ESPRESSO input:
```
&SYSTEM
  ibrav = 0, nat = 12, ntyp = 4
/
ATOMIC_SPECIES
H 1.01 H.upf
Na 22.99 Na.upf
Li 6.94 Li.upf
Cs 132.91 Cs.upf
CELL_PARAMETERS angstrom
6.044 0.000 0.000
0.000 6.071 0.000
0.000 -3.036 5.489
ATOMIC_POSITIONS crystal
H 0.750 0.768 0.537
H 0.000 0.772 0.000
H 0.000 0.228 0.000
H 0.500 0.772 0.000
H 0.250 0.232 0.463
H 0.500 0.228 0.000
Na 0.250 0.438 0.876
Na 0.750 0.562 0.124
Li 0.250 0.058 0.115
Li 0.750 0.942 0.885
Cs 0.250 0.758 0.516
Cs 0.750 0.242 0.484
```

final energy: -2.59 eV per atom

***

4.
Here is a relaxed CsLiNbH2 crystal from the Alexandria database. Energies are from PBE. Values from VASP.

Cell and atoms, written as Quantum ESPRESSO input:
```
&SYSTEM
  ibrav = 0, nat = 5, ntyp = 4
/
ATOMIC_SPECIES
Li 6.94 Li.upf
H 1.01 H.upf
Cs 132.91 Cs.upf
Nb 92.91 Nb.upf
CELL_PARAMETERS angstrom
-3.709 2.006 -0.286
-1.991 -4.098 -2.927
-1.300 -1.899 3.544
ATOMIC_POSITIONS crystal
Li 0.000 0.500 0.000
H 0.000 0.000 0.500
H 0.500 0.000 0.000
Cs 0.500 0.500 0.500
Nb 0.000 0.000 0.000
```

final energy: -3.22 eV per atom

***

5.
Here is a relaxed CsLiNiH6 crystal from the Alexandria database. Energies are from PBE. Values from VASP.

Cell and atoms, written as Quantum ESPRESSO input:
```
&SYSTEM
  ibrav = 0, nat = 9, ntyp = 4
/
ATOMIC_SPECIES
H 1.01 H.upf
Li 6.94 Li.upf
Cs 132.91 Cs.upf
Ni 58.69 Ni.upf
CELL_PARAMETERS angstrom
-3.211 -3.089 1.929
1.430 -3.120 3.435
-1.286 4.071 4.284
ATOMIC_POSITIONS crystal
H 0.339 0.584 0.362
H 0.567 0.082 0.348
H 0.066 0.359 0.353
H 0.359 0.066 0.648
H 0.585 0.339 0.638
H 0.083 0.568 0.652
Li 0.669 0.670 0.500
Cs 0.000 0.001 0.000
Ni 0.331 0.331 0.500
```

final energy: -3.35 eV per atom

***

6.
Here is a relaxed Cs2Li3NpH12 crystal from the Alexandria database. Energies are from PBE. Values from VASP.

Cell and atoms, written as Quantum ESPRESSO input:
```
&SYSTEM
  ibrav = 0, nat = 18, ntyp = 4
/
ATOMIC_SPECIES
H 1.01 H.upf
Cs 132.91 Cs.upf
Np 237.00 Np.upf
Li 6.94 Li.upf
CELL_PARAMETERS angstrom
-5.304 1.806 3.081
0.190 -2.765 5.762
1.744 4.535 4.157
ATOMIC_POSITIONS crystal
H 0.218 0.923 0.218
H 0.077 0.782 0.782
H 0.782 0.782 0.077
H 0.329 0.888 0.888
H 0.112 0.112 0.671
H 0.923 0.218 0.218
H 0.888 0.888 0.329
H 0.782 0.077 0.782
H 0.112 0.671 0.112
H 0.888 0.329 0.888
H 0.218 0.218 0.923
H 0.671 0.112 0.112
Cs 0.628 0.628 0.628
Cs 0.372 0.372 0.372
Np 0.000 0.000 0.000
Li 0.000 0.000 0.500
Li 0.000 0.500 0.000
Li 0.500 0.000 0.000
```

final energy: -3.42 eV per atom

***

7.
Here is a relaxed CsLiH6Os crystal from the Alexandria database. Energies are from PBE. Values from VASP.

Cell and atoms, written as Quantum ESPRESSO input:
```
&SYSTEM
  ibrav = 0, nat = 9, ntyp = 4
/
ATOMIC_SPECIES
Cs 132.91 Cs.upf
Li 6.94 Li.upf
Os 190.23 Os.upf
H 1.01 H.upf
CELL_PARAMETERS angstrom
-1.247 -3.918 -3.174
1.425 -2.015 -4.573
4.297 -4.478 2.122
ATOMIC_POSITIONS crystal
Cs 0.035 0.923 0.968
Li 0.702 0.592 0.440
Os 0.397 0.285 0.503
H 0.538 0.427 0.312
H 0.223 0.113 0.564
H 0.899 0.787 0.551
H 0.329 0.218 0.279
H 0.344 0.233 0.758
H 0.533 0.421 0.626
```

final energy: -4.00 eV per atom

***

8.
Here is a relaxed CsLiH2Pd crystal from the Alexandria database. Energies are from PBE. Values from VASP.

Cell and atoms, written as Quantum ESPRESSO input:
```
&SYSTEM
  ibrav = 0, nat = 5, ntyp = 4
/
ATOMIC_SPECIES
H 1.01 H.upf
Pd 106.42 Pd.upf
Li 6.94 Li.upf
Cs 132.91 Cs.upf
CELL_PARAMETERS angstrom
-2.454 -1.066 3.247
-1.003 -4.026 -2.080
3.294 -1.801 1.898
ATOMIC_POSITIONS crystal
H 0.500 0.000 0.000
H 0.000 0.000 0.500
Pd 0.000 0.000 0.000
Li 0.000 0.500 0.000
Cs 0.500 0.500 0.500
```

final energy: -2.78 eV per atom

***

9.
Here is a relaxed Cs2LiH6Pt crystal from the Alexandria database. Energies are from PBE. Values from VASP.

Cell and atoms, written as Quantum ESPRESSO input:
```
&SYSTEM
  ibrav = 0, nat = 10, ntyp = 4
/
ATOMIC_SPECIES
H 1.01 H.upf
Cs 132.91 Cs.upf
Li 6.94 Li.upf
Pt 195.08 Pt.upf
CELL_PARAMETERS angstrom
-0.301 2.170 4.563
-3.918 -4.629 1.943
6.294 -0.644 0.722
ATOMIC_POSITIONS crystal
H 0.803 0.125 0.251
H 0.803 0.125 0.875
H 0.197 0.875 0.749
H 0.197 0.875 0.125
H 0.197 0.251 0.125
H 0.803 0.749 0.875
Cs 0.752 0.667 0.333
Cs 0.248 0.333 0.667
Li 0.500 0.000 0.000
Pt 0.000 0.000 0.000
```

final energy: -3.32 eV per atom

***

10.
Here is a relaxed CsRb2LiH4 crystal from the Alexandria database. Energies are from PBE. Values from VASP.

Cell and atoms, written as Quantum ESPRESSO input:
```
&SYSTEM
  ibrav = 0, nat = 16, ntyp = 4
/
ATOMIC_SPECIES
Li 6.94 Li.upf
H 1.01 H.upf
Rb 85.47 Rb.upf
Cs 132.91 Cs.upf
CELL_PARAMETERS angstrom
4.052 0.000 0.000
-2.026 6.848 0.000
0.000 0.000 13.902
ATOMIC_POSITIONS crystal
Li 0.812 0.624 0.750
Li 0.188 0.376 0.250
H 0.735 0.469 0.639
H 0.000 0.000 0.000
H 0.386 0.772 0.750
H 0.265 0.531 0.139
H 0.000 0.000 0.500
H 0.614 0.228 0.250
H 0.735 0.469 0.861
H 0.265 0.531 0.361
Rb 0.364 0.729 0.953
Rb 0.636 0.271 0.453
Rb 0.364 0.729 0.547
Rb 0.636 0.271 0.047
Cs 0.098 0.195 0.750
Cs 0.902 0.805 0.250
```

final energy: -2.46 eV per atom

***

11.
Here is a relaxed CsRb2LiH crystal from the Alexandria database. Energies are from PBE. Values from VASP.

Cell and atoms, written as Quantum ESPRESSO input:
```
&SYSTEM
  ibrav = 0, nat = 5, ntyp = 4
/
ATOMIC_SPECIES
Rb 85.47 Rb.upf
Cs 132.91 Cs.upf
Li 6.94 Li.upf
H 1.01 H.upf
CELL_PARAMETERS angstrom
6.140 0.000 0.000
0.000 6.140 0.000
0.000 0.000 6.533
ATOMIC_POSITIONS crystal
Rb 0.000 0.500 0.000
Rb 0.500 0.000 0.000
Cs 0.000 0.000 0.500
Li 0.500 0.500 0.500
H 0.000 0.000 0.000
```

final energy: -1.55 eV per atom

***

12.
Here is a relaxed CsRbLi2H crystal from the Alexandria database. Energies are from PBE. Values from VASP.

Cell and atoms, written as Quantum ESPRESSO input:
```
&SYSTEM
  ibrav = 0, nat = 5, ntyp = 4
/
ATOMIC_SPECIES
Cs 132.91 Cs.upf
Rb 85.47 Rb.upf
H 1.01 H.upf
Li 6.94 Li.upf
CELL_PARAMETERS angstrom
-4.893 2.014 -4.959
-3.710 0.498 3.863
1.905 6.934 0.937
ATOMIC_POSITIONS crystal
Cs 0.000 0.000 0.000
Rb 0.500 0.500 0.500
H 0.000 0.500 0.000
Li 0.000 0.000 0.500
Li 0.500 0.000 0.000
```

final energy: -1.28 eV per atom